1.
Entry from Alexandria: crystalline CaSb2W at its relaxed geometry (PBE).

Relative energy among the computed polymorphs (eV/atom): 0.3257
Magnetization (Bohr magnetons per cell): 0.00

Cell lengths 3.2208, 4.3963, 7.3386 Å; angles 90.00, 90.00, 90.00 degrees
With the nearest neighbours (Å) after each atom.
Fractional coordinates of all 4 atoms:
Ca: 0.5000 0.5000 0.7710  5 Sb 3.10-3.19, 2 Ca 3.22
Sb: 0.0000 0.0000 0.9973  1 W 2.83
Sb: 0.5000 0.5000 0.3488  4 W 2.74
W: 0.0000 0.0000 0.3829  5 Sb 2.74-2.83

2.
Entry from Alexandria: crystalline CaSbW at its relaxed geometry (PBE).

Relative energy among the computed polymorphs (eV/atom): 0.0000
Magnetization (Bohr magnetons per cell): 0.00

Cell lengths 6.1340, 6.1340, 6.1340 Å; angles 146.56, 146.56, 48.01 degrees
With the nearest neighbours (Å) after each atom.
Fractional coordinates of all 3 atoms:
Sb: 0.3006 0.3006 0.0000  4 W 2.76
W: 0.6944 0.6944 0.0000  4 Sb 2.76
Ca: 0.0050 0.0050 0.0000  5 W 3.28-3.48, 5 Sb 3.31-3.39, 4 Ca 3.53

3.
Entry from Alexandria: crystalline Ca2SbW at its relaxed geometry (PBE).

E (eV per cell): -19.610
Magnetization (Bohr magnetons per cell): 0.10

Cell lengths 5.1931, 3.1143, 5.9236 Å; angles 89.86, 90.00, 90.00 degrees
With the nearest neighbours (Å) after each atom.
Fractional coordinates of all 4 atoms:
Sb: 0.0000 0.6251 0.5000  2 W 3.01, 2 Sb 3.11, 6 Ca 3.14-3.29
Ca: 0.0000 0.1229 0.9612  4 Ca 3.11-3.22, 2 Sb 3.14-3.15, 4 W 3.26
Ca: 0.5000 0.1271 0.2816  4 Ca 3.11-3.22, 4 W 3.22-3.48, 4 Sb 3.29
W: 0.5000 0.6248 0.7572  2 Sb 3.01, 2 W 3.11, 6 Ca 3.22-3.26

4.
Entry from Alexandria: crystalline CaSbW4 at its relaxed geometry (PBE).

E (eV per cell): -54.408
Magnetization (Bohr magnetons per cell): 0.00

Cell lengths 5.4778, 5.4778, 5.4778 Å; angles 60.00, 60.00, 60.00 degrees
With the nearest neighbours (Å) after each atom.
Fractional coordinates of all 6 atoms:
W: 0.3756 0.3756 0.8733  6 W 2.73-2.75
W: 0.3756 0.3756 0.3756  6 W 2.73-2.75
W: 0.3756 0.8733 0.3756  6 W 2.73-2.75
W: 0.8733 0.3756 0.3756  6 W 2.73-2.75
Ca: 0.7500 0.7500 0.7500  12 W 3.21, 4 Sb 3.35
Sb: 0.0000 0.0000 0.0000  12 W 3.21, 4 Ca 3.35

5.
Entry from Alexandria: crystalline CaSb2W at its relaxed geometry (PBE).

Relative energy among the computed polymorphs (eV/atom): 0.0576
Magnetization (Bohr magnetons per cell): 0.00

Cell lengths 3.9279, 3.9279, 7.9323 Å; angles 75.66, 75.66, 60.03 degrees
With the nearest neighbours (Å) after each atom.
Fractional coordinates of all 4 atoms:
Sb: 0.4870 0.4870 0.5387  3 W 2.78
Sb: 0.0130 0.0130 0.9613  3 W 2.78
W: 0.7500 0.7500 0.7500  6 Sb 2.78
Ca: 0.2500 0.2500 0.2500  6 Sb 3.16

6.
Entry from Alexandria: crystalline Ca2SbW at its relaxed geometry (PBE).

E (eV per cell): -19.581
Magnetization (Bohr magnetons per cell): 0.00

Cell lengths 4.5302, 3.1752, 7.3940 Å; angles 64.77, 90.00, 90.00 degrees
With the nearest neighbours (Å) after each atom.
Fractional coordinates of all 4 atoms:
Ca: 0.0000 0.4953 0.5055  4 Ca 3.18-3.42, 4 W 3.21-3.22, 4 Sb 3.25
Ca: 0.0000 0.0047 0.9945  4 Ca 3.18-3.42, 4 W 3.21-3.22, 4 Sb 3.25
Sb: 0.5000 0.2500 0.2500  2 Sb 3.18, 8 Ca 3.25, 2 W 3.34
W: 0.5000 0.7500 0.7500  2 W 3.18, 8 Ca 3.21-3.22, 2 Sb 3.34

7.
Entry from Alexandria: crystalline Ca2SbW at its relaxed geometry (PBE).

E (eV per cell): -20.002
Magnetization (Bohr magnetons per cell): 0.00

Cell lengths 3.1489, 3.1485, 9.7176 Å; angles 90.00, 90.00, 90.09 degrees
With the nearest neighbours (Å) after each atom.
Fractional coordinates of all 4 atoms:
Sb: 0.5000 0.5000 0.2500  4 Sb 3.15, 8 Ca 3.36
Ca: 0.0000 0.0000 0.5095  4 Ca 3.15, 4 W 3.23, 4 Sb 3.36
Ca: 0.0000 0.0000 0.9905  4 Ca 3.15, 4 W 3.23, 4 Sb 3.36
W: 0.5000 0.5000 0.7500  4 W 3.15, 8 Ca 3.23

8.
Entry from Alexandria: crystalline Ca2SbW at its relaxed geometry (PBE).

E (eV per cell): -19.398
Magnetization (Bohr magnetons per cell): 2.21

Cell lengths 4.5957, 4.5957, 4.5833 Å; angles 90.00, 90.00, 90.00 degrees
With the nearest neighbours (Å) after each atom.
Fractional coordinates of all 4 atoms:
Ca: 0.0000 0.0000 0.0000  4 Sb 3.25, 4 W 3.25, 4 Ca 3.25
Ca: 0.5000 0.5000 0.0000  4 Sb 3.25, 4 W 3.25, 4 Ca 3.25
Sb: 0.5000 0.0000 0.5000  8 Ca 3.25, 4 W 3.25
W: 0.0000 0.5000 0.5000  8 Ca 3.25, 4 Sb 3.25

9.
Entry from Alexandria: crystalline CaSb2W at its relaxed geometry (PBE).

Relative energy among the computed polymorphs (eV/atom): 0.6945
Magnetization (Bohr magnetons per cell): 1.75

Cell lengths 5.0866, 5.0866, 5.0866 Å; angles 60.00, 60.00, 60.00 degrees
With the nearest neighbours (Å) after each atom.
Fractional coordinates of all 4 atoms:
W: 0.7500 0.7500 0.7500  4 Sb 3.11, 4 Ca 3.11
Ca: 0.5000 0.5000 0.5000  4 W 3.11, 4 Sb 3.11
Sb: 0.0000 0.0000 0.0000  4 W 3.11, 4 Sb 3.11
Sb: 0.2500 0.2500 0.2500  4 Sb 3.11, 4 Ca 3.11

10.
Entry from Alexandria: crystalline Ca4SbW at its relaxed geometry (PBE).

E (eV per cell): -19.871
Magnetization (Bohr magnetons per cell): 2.97

Cell lengths 6.3016, 6.3016, 6.3016 Å; angles 60.00, 60.00, 60.00 degrees
With the nearest neighbours (Å) after each atom.
Fractional coordinates of all 6 atoms:
Ca: 0.3744 0.3744 0.3744  6 Ca 3.13-3.17
Ca: 0.8769 0.3744 0.3744  6 Ca 3.13-3.17
Ca: 0.3744 0.3744 0.8769  6 Ca 3.13-3.17
Ca: 0.3744 0.8769 0.3744  6 Ca 3.13-3.17
Sb: 0.7500 0.7500 0.7500  12 Ca 3.70, 4 W 3.86
W: 0.0000 0.0000 0.0000  12 Ca 3.69, 4 Sb 3.86

11.
Entry from Alexandria: crystalline CaSbW3 at its relaxed geometry (PBE).

Relative energy among the computed polymorphs (eV/atom): 0.0000
Magnetization (Bohr magnetons per cell): 0.00

Cell lengths 4.9799, 4.9799, 4.9799 Å; angles 90.00, 90.00, 90.00 degrees
With the nearest neighbours (Å) after each atom.
Fractional coordinates of all 5 atoms:
Sb: 0.0000 0.0000 0.0000  6 W 2.49
W: 0.0000 0.0000 0.5000  2 Sb 2.49
W: 0.0000 0.5000 0.0000  2 Sb 2.49
W: 0.5000 0.0000 0.0000  2 Sb 2.49
Ca: 0.5000 0.5000 0.5000  12 W 3.52

12.
Entry from Alexandria: crystalline Ca2SbW at its relaxed geometry (PBE).

E (eV per cell): -36.175
Magnetization (Bohr magnetons per cell): 0.00

Cell lengths 8.4767, 8.4767, 6.6430 Å; angles 50.36, 50.36, 90.00 degrees
With the nearest neighbours (Å) after each atom.
Fractional coordinates of all 8 atoms:
Ca: 0.1158 0.6250 0.2500  2 Ca 2.87, 2 W 3.03, 2 Sb 3.14
Ca: 0.8750 0.8842 0.7500  2 Ca 2.87, 2 W 3.03, 2 Sb 3.14
Ca: 0.6342 0.1250 0.2500  2 Ca 2.87, 2 W 3.03, 2 Sb 3.14
Ca: 0.3750 0.3658 0.7500  2 Ca 2.87, 2 W 3.03, 2 Sb 3.14
Sb: 0.5000 0.5000 0.0000  2 W 2.86, 4 Ca 3.14
Sb: 0.2500 0.7500 0.5000  2 W 2.86, 4 Ca 3.14
W: 0.7500 0.2500 0.5000  2 Sb 2.86, 4 Ca 3.03
W: 0.0000 0.0000 0.0000  2 Sb 2.86, 4 Ca 3.03

Repeat the first record exactly.
Entry from Alexandria: crystalline CaSb2W at its relaxed geometry (PBE).

Relative energy among the computed polymorphs (eV/atom): 0.3257
Magnetization (Bohr magnetons per cell): 0.00

Cell lengths 3.2208, 4.3963, 7.3386 Å; angles 90.00, 90.00, 90.00 degrees
With the nearest neighbours (Å) after each atom.
Fractional coordinates of all 4 atoms:
Ca: 0.5000 0.5000 0.7710  5 Sb 3.10-3.19, 2 Ca 3.22
Sb: 0.0000 0.0000 0.9973  1 W 2.83
Sb: 0.5000 0.5000 0.3488  4 W 2.74
W: 0.0000 0.0000 0.3829  5 Sb 2.74-2.83

Number 12 is which compound?
Ca2SbW